# 1
An optimized crystal structure of MnPbSe2. Source: Alexandria, functional PBE.

magnetic moment	1.23	μB per atom
mass density	7.4	g/cm³
formation energy (no corrections)	-9	meV per atom
total DFT energy (no corrections)	-19.88	eV per cell
density of states at the Fermi level	0.435	states/eV per atom

POSCAR file:
```
MnPbSe2
1.0
5.0864 -0.0017 0.0000
0.0030 5.0864 0.0000
0.0000 0.0000 3.6306
Mn Pb Se
1 1 2
Direct
0.5000 0.0000 0.5000
0.0000 0.5000 0.5000
0.0000 0.0000 0.0000
0.5000 0.5000 0.0000
```

---

# 2
An optimized crystal structure of MnPbSe4. Source: Alexandria, functional PBE.

magnetic moment	0.77	μB per atom
mass density	6.8	g/cm³
formation energy (no corrections)	520	meV per atom
total DFT energy (no corrections)	-23.69	eV per cell
density of states at the Fermi level	0.636	states/eV per atom

POSCAR file:
```
MnPbSe4
1.0
-0.7581 -3.4458 4.6523
-3.5413 1.6769 4.3289
-5.1014 -2.7200 0.8181
Mn Pb Se
1 1 4
Direct
0.7500 0.7500 0.7500
0.0000 0.0000 0.0000
0.8707 0.3764 0.3764
0.3764 0.3764 0.8707
0.3764 0.8707 0.3764
0.3764 0.3764 0.3764
```

---

# 3
An optimized crystal structure of Mn2PbSe4. Source: Alexandria, functional PBE.

magnetic moment	1.14	μB per atom
mass density	6.0	g/cm³
formation energy (no corrections)	-399	meV per atom
total DFT energy (no corrections)	-77.55	eV per cell
density of states at the Fermi level	0.367	states/eV per atom

POSCAR file:
```
Mn2PbSe4
1.0
3.6735 -0.4443 7.2197
4.0215 -6.4512 2.1149
7.8694 0.1410 0.5627
Mn Pb Se
4 2 8
Direct
0.0000 0.0000 0.0000
0.0000 0.0000 0.5000
0.0000 0.5000 0.5000
0.5000 0.0000 0.5000
0.5000 0.5000 0.0000
0.0000 0.5000 0.0000
0.2376 0.2343 0.2905
0.7624 0.2095 0.2657
0.2376 0.7905 0.7343
0.7624 0.7657 0.7095
0.7723 0.7649 0.2649
0.8021 0.2351 0.7351
0.1979 0.7649 0.2649
0.2277 0.2351 0.7351
```

---

# 4
An optimized crystal structure of MnPbSe2. Source: Alexandria, functional PBE.

magnetic moment	0.00	μB per atom
mass density	6.6	g/cm³
formation energy (no corrections)	-48	meV per atom
total DFT energy (no corrections)	-40.08	eV per cell
density of states at the Fermi level	0.885	states/eV per atom

POSCAR file:
```
MnPbSe2
1.0
6.4750 0.0000 0.0000
0.0000 6.4750 0.0000
3.2375 3.2375 5.0244
Pb Mn Se
2 2 4
Direct
0.0000 0.0000 0.0000
0.7500 0.2500 0.5000
0.5000 0.5000 0.0000
0.2500 0.7500 0.5000
0.5313 0.1250 0.2500
0.2187 0.6250 0.2500
0.3750 0.4687 0.7500
0.8750 0.7813 0.7500
```

---

# 5
An optimized crystal structure of MnPb5Se6. Source: Alexandria, functional PBE.

magnetic moment	0.42	μB per atom
mass density	7.7	g/cm³
formation energy (no corrections)	-511	meV per atom
total DFT energy (no corrections)	-54.76	eV per cell

POSCAR file:
```
MnPb5Se6
1.0
7.3711 0.1808 1.1204
1.8118 6.2635 3.6511
0.1277 0.0861 7.4366
Pb Mn Se
5 1 6
Direct
0.5000 0.1676 0.6649
0.0000 0.3324 0.3351
0.5000 0.5000 0.0000
0.0000 0.6676 0.6649
0.5000 0.8324 0.3352
0.0000 0.0000 0.0000
0.7720 0.0754 0.3030
0.2280 0.6216 0.3030
0.2427 0.2279 0.0000
0.7573 0.7721 0.0000
0.7720 0.3784 0.6970
0.2280 0.9246 0.6970
```

---

# 6
An optimized crystal structure of Mn2PbSe. Source: Alexandria, functional PBE.

magnetic moment	1.93	μB per atom
mass density	8.0	g/cm³
formation energy (no corrections)	265	meV per atom
total DFT energy (no corrections)	-24.47	eV per cell
density of states at the Fermi level	0.698	states/eV per atom
excess energy over the best structure of this formula in the dataset	20.2	kJ/mol of atoms

POSCAR file:
```
Mn2PbSe
1.0
5.2706 -0.0318 0.0168
1.0444 5.1662 -0.0168
-2.2602 -3.6708 3.0327
Mn Pb Se
2 1 1
Direct
0.0276 0.0276 0.0000
0.4724 0.4724 0.0000
0.7500 0.2500 0.5000
0.2500 0.7500 0.5000
```

---

Among the records above, which one has the lowest mass density? Mn2PbSe4

---

Which value of formation energy (no corrections) does entry 3 give? -399 meV per atom